No. 1
The following is a DFT calculation (PBE-GGA) of CsAgS4 after structural relaxation.

* E_form (uncorrected): -0.3276 eV per atom

Cell and atoms, written as CIF:
```
data_CsAgS4
_chemical_formula_sum 'Cs2 Ag2 S8'
_symmetry_space_group_name_H-M 'P 1 21/m 1'
_symmetry_Int_Tables_number 11
_cell_length_a 6.6515
_cell_length_b 7.0276
_cell_length_c 8.0083
_cell_angle_alpha 90.00
_cell_angle_beta 91.79
_cell_angle_gamma 90.00
loop_
_symmetry_equiv_pos_as_xyz
'x,y,z'
'-x,-y,-z'
'-x,y+1/2,-z'
'x,-y+1/2,z'
loop_
_atom_site_label
_atom_site_fract_x
_atom_site_fract_y
_atom_site_fract_z
Cs1 0.1854 0.2500 0.3469
Ag1 0.2635 0.7500 0.9459
S1 0.0995 0.7500 0.2184
S2 0.2020 0.2500 0.8587
S3 0.3303 0.0168 0.7469
```

No. 2
The following is a DFT calculation (PBE-GGA) of PuUSn6 after structural relaxation.

* N(E_F): 2.034 states/eV/atom
* formation energy: -1.95 eV per formula unit

Cell and atoms, written as CIF:
```
data_PuUSn6
_chemical_formula_sum 'Pu1 U1 Sn6'
_symmetry_space_group_name_H-M 'P 4/m m m'
_symmetry_Int_Tables_number 123
_symmetry_space_group_name_Hall '-P 4 2'
_cell_length_a 4.6294
_cell_length_b 4.6294
_cell_length_c 9.3708
_cell_angle_alpha 90.00
_cell_angle_beta 90.00
_cell_angle_gamma 90.00
loop_
_atom_site_label
_atom_site_fract_x
_atom_site_fract_y
_atom_site_fract_z
Pu1 0.0000 0.0000 0.0000
U1 0.0000 0.0000 0.5000
Sn1 0.0000 0.5000 0.2509
Sn2 0.5000 0.5000 0.0000
Sn3 0.5000 0.5000 0.5000
```